# NaSiPt3, relaxed, DFT PBE
# - total magnetic moment (μB per cell) = 0.00
# - ΔE_f (raw) (meV/atom) = -466
data_NaSiPt3
_chemical_formula_sum 'Na4 Si4 Pt12'
_symmetry_space_group_name_H-M 'I m m m'
_symmetry_Int_Tables_number 71
_symmetry_space_group_name_Hall '-I 2 2'
_cell_length_a 5.7722
_cell_length_b 6.3541
_cell_length_c 9.7175
_cell_angle_alpha 90.00
_cell_angle_beta 90.00
_cell_angle_gamma 90.00
loop_
_atom_site_label
_atom_site_type_symbol
_atom_site_fract_x
_atom_site_fract_y
_atom_site_fract_z
_atom_site_occupancy
Na1 Na 0.0000 0.0000 0.0000 1
Na2 Na 0.0000 0.5000 0.0000 1
Si1 Si 0.0000 0.0000 0.3523 1
Pt1 Pt 0.0000 0.2902 0.5000 1
Pt2 Pt 0.2500 0.2500 0.2500 1